The following is a PBE-GGA calculation of K2PO4 after structural relaxation, from the Alexandria database.

Structure (CIF):
```
data_K2PO4
_chemical_formula_sum 'K4 P2 O8'
_symmetry_space_group_name_H-M 'P 1 21/m 1'
_symmetry_Int_Tables_number 11
_cell_length_a 5.966
_cell_length_b 6.292
_cell_length_c 7.319
_cell_angle_alpha 90.00
_cell_angle_beta 108.78
_cell_angle_gamma 90.00
loop_
_symmetry_equiv_pos_as_xyz
'x,y,z'
'-x,-y,-z'
'-x,y+1/2,-z'
'x,-y+1/2,z'
loop_
_atom_site_label
_atom_site_type_symbol
_atom_site_fract_x
_atom_site_fract_y
_atom_site_fract_z
_atom_site_occupancy
K1 K 0.170 0.250 0.016 1
K2 K 0.323 0.250 0.575 1
P1 P 0.242 0.750 0.781 1
O1 O 0.084 0.548 0.733 1
O2 O 0.355 0.750 0.006 1
O3 O 0.430 0.750 0.679 1
```

## Properties
Total DFT energy (no corrections)   -82.72 eV per cell
M_tot   1.02 μB per formula unit
Formation energy from raw total energies   -1.99 eV per atom



The following is a PBE-GGA calculation of Li2CuF4 after structural relaxation, from the Alexandria database.

Structure (CIF):
```
data_Li2CuF4
_chemical_formula_sum 'Li4 Cu2 F8'
_symmetry_space_group_name_H-M 'P 1 c 1'
_symmetry_Int_Tables_number 7
_cell_length_a 5.687
_cell_length_b 5.373
_cell_length_c 5.607
_cell_angle_alpha 90.00
_cell_angle_beta 119.01
_cell_angle_gamma 90.00
loop_
_symmetry_equiv_pos_as_xyz
'x,y,z'
'x,-y,z+1/2'
loop_
_atom_site_label
_atom_site_type_symbol
_atom_site_fract_x
_atom_site_fract_y
_atom_site_fract_z
_atom_site_occupancy
Li1 Li 0.000 0.198 0.000 1
Li2 Li 0.721 0.268 0.436 1
Cu1 Cu 0.435 0.258 0.877 1
F1 F 0.077 0.121 0.678 1
F2 F 0.338 0.374 0.147 1
F3 F 0.609 0.091 0.697 1
F4 F 0.788 0.400 0.119 1
```

## Properties
Total DFT energy (no corrections)   -63.45 eV per cell
M_tot   1.01 μB per formula unit
Formation energy from raw total energies   -2.33 eV per atom



The following is a PBE-GGA calculation of BaMn2Rh after structural relaxation, from the Alexandria database.

Structure (CIF):
```
data_BaMn2Rh
_chemical_formula_sum 'Ba2 Mn4 Rh2'
_symmetry_space_group_name_H-M 'I m m m'
_symmetry_Int_Tables_number 71
_symmetry_space_group_name_Hall '-I 2 2'
_cell_length_a 3.276
_cell_length_b 5.353
_cell_length_c 10.404
_cell_angle_alpha 90.00
_cell_angle_beta 90.00
_cell_angle_gamma 90.00
loop_
_atom_site_label
_atom_site_type_symbol
_atom_site_fract_x
_atom_site_fract_y
_atom_site_fract_z
_atom_site_occupancy
Ba1 Ba 0.000 0.000 0.000 1
Mn1 Mn 0.000 0.500 0.200 1
Rh1 Rh 0.000 0.000 0.500 1
```

## Properties
Total DFT energy (no corrections)   -51.25 eV per cell
M_tot   8.79 μB per formula unit



The following is a PBE-GGA calculation of Rb2ReAgSe4 after structural relaxation, from the Alexandria database.

Structure (CIF):
```
data_Rb2ReAgSe4
_chemical_formula_sum 'Rb4 Re2 Ag2 Se8'
_symmetry_space_group_name_H-M 'I -4'
_symmetry_Int_Tables_number 82
_cell_length_a 7.910
_cell_length_b 7.910
_cell_length_c 8.489
_cell_angle_alpha 90.00
_cell_angle_beta 90.00
_cell_angle_gamma 90.00
loop_
_symmetry_equiv_pos_as_xyz
'x,y,z'
'y,-x,-z'
'-x,-y,z'
'-y,x,-z'
'x+1/2,y+1/2,z+1/2'
'y+1/2,-x+1/2,-z+1/2'
'-x+1/2,-y+1/2,z+1/2'
'-y+1/2,x+1/2,-z+1/2'
loop_
_atom_site_label
_atom_site_type_symbol
_atom_site_fract_x
_atom_site_fract_y
_atom_site_fract_z
_atom_site_occupancy
Rb1 Rb 0.000 0.000 0.000 1
Rb2 Rb 0.000 0.500 0.250 1
Re1 Re 0.000 0.500 0.750 1
Ag1 Ag 0.000 0.000 0.500 1
Se1 Se 0.140 0.289 0.602 1
```

## Properties
Total DFT energy (no corrections)   -70.30 eV per cell
M_tot   1.38 μB per formula unit
Formation energy from raw total energies   -0.50 eV per atom



The following is a PBE-GGA calculation of SbIrCl2O after structural relaxation, from the Alexandria database.

Structure (CIF):
```
data_SbIrCl2O
_chemical_formula_sum 'Sb1 Ir1 Cl2 O1'
_symmetry_space_group_name_H-M 'P 4/m m m'
_symmetry_Int_Tables_number 123
_symmetry_space_group_name_Hall '-P 4 2'
_cell_length_a 5.435
_cell_length_b 5.435
_cell_length_c 3.981
_cell_angle_alpha 90.00
_cell_angle_beta 90.00
_cell_angle_gamma 90.00
loop_
_atom_site_label
_atom_site_type_symbol
_atom_site_fract_x
_atom_site_fract_y
_atom_site_fract_z
_atom_site_occupancy
Sb1 Sb 0.000 0.000 0.000 1
Ir1 Ir 0.500 0.500 0.500 1
Cl1 Cl 0.000 0.500 0.000 1
O1 O 0.000 0.000 0.500 1
```

## Properties
Total DFT energy (no corrections)   -18.59 eV per cell
M_tot   2.18 μB per formula unit
Formation energy from raw total energies   0.61 eV per atom



The following is a PBE-GGA calculation of Y3CuGeS7 after structural relaxation, from the Alexandria database.

Structure (CIF):
```
data_Y3CuGeS7
_chemical_formula_sum 'Y6 Cu2 Ge2 S14'
_symmetry_space_group_name_H-M 'P 63'
_symmetry_Int_Tables_number 173
_cell_length_a 9.8769
_cell_length_b 9.8769
_cell_length_c 5.8736
_cell_angle_alpha 90.00
_cell_angle_beta 90.00
_cell_angle_gamma 120.00
loop_
_symmetry_equiv_pos_as_xyz
'x,y,z'
'x-y,x,z+1/2'
'-y,x-y,z'
'-x,-y,z+1/2'
'-x+y,-x,z'
'y,-x+y,z+1/2'
loop_
_atom_site_label
_atom_site_type_symbol
_atom_site_fract_x
_atom_site_fract_y
_atom_site_fract_z
_atom_site_occupancy
Y1 Y 0.1349 0.7772 0.0000 1
Cu1 Cu 0.0000 0.0000 0.4335 1
Ge1 Ge 0.3333 0.6667 0.5806 1
S1 S 0.0980 0.5203 0.7425 1
S2 S 0.1010 0.8417 0.4552 1
S3 S 0.3333 0.6667 0.2041 1
```

## Properties
Total DFT energy (no corrections)   -148.45 eV per cell
M_tot   0.00 μB per formula unit
Formation energy from raw total energies   -1.44 eV per atom



The following is a PBE-GGA calculation of Ca2Zn2Bi after structural relaxation, from the Alexandria database.

Structure (CIF):
```
data_Ca2Zn2Bi
_chemical_formula_sum 'Ca4 Zn4 Bi2'
_symmetry_space_group_name_H-M 'P 4/m b m'
_symmetry_Int_Tables_number 127
_symmetry_space_group_name_Hall '-P 4 2ab'
_cell_length_a 8.755
_cell_length_b 8.755
_cell_length_c 3.684
_cell_angle_alpha 90.00
_cell_angle_beta 90.00
_cell_angle_gamma 90.00
loop_
_atom_site_label
_atom_site_type_symbol
_atom_site_fract_x
_atom_site_fract_y
_atom_site_fract_z
_atom_site_occupancy
Ca1 Ca 0.185 0.315 0.000 1
Zn1 Zn 0.107 0.607 0.500 1
Bi1 Bi 0.000 0.000 0.000 1
```

## Properties
Total DFT energy (no corrections)   -22.50 eV per cell
M_tot   0.00 μB per formula unit



The following is a PBE-GGA calculation of Th6Co3PdRh2 after structural relaxation, from the Alexandria database.

Structure (CIF):
```
data_Th6Co3PdRh2
_chemical_formula_sum 'Th12 Co6 Pd2 Rh4'
_symmetry_space_group_name_H-M 'C 1 2/m 1'
_symmetry_Int_Tables_number 12
_cell_length_a 17.714
_cell_length_b 4.011
_cell_length_c 8.131
_cell_angle_alpha 90.00
_cell_angle_beta 104.46
_cell_angle_gamma 90.00
loop_
_symmetry_equiv_pos_as_xyz
'x,y,z'
'-x,-y,-z'
'-x,y,-z'
'x,-y,z'
'x+1/2,y+1/2,z'
'-x+1/2,-y+1/2,-z'
'-x+1/2,y+1/2,-z'
'x+1/2,-y+1/2,z'
loop_
_atom_site_label
_atom_site_type_symbol
_atom_site_fract_x
_atom_site_fract_y
_atom_site_fract_z
_atom_site_occupancy
Th1 Th 0.003 0.000 0.234 1
Th2 Th 0.165 0.500 0.088 1
Th3 Th 0.172 0.500 0.577 1
Co1 Co 0.000 0.500 0.000 1
Co2 Co 0.165 0.000 0.332 1
Pd1 Pd 0.000 0.500 0.500 1
Rh1 Rh 0.165 0.000 0.829 1
```

## Properties
Total DFT energy (no corrections)   -184.84 eV per cell
M_tot   0.00 μB per formula unit



The following is a PBE-GGA calculation of BeZnAu3 after structural relaxation, from the Alexandria database.

Structure (CIF):
```
data_BeZnAu3
_chemical_formula_sum 'Be2 Zn2 Au6'
_symmetry_space_group_name_H-M 'P -1'
_symmetry_Int_Tables_number 2
_cell_length_a 4.699
_cell_length_b 4.771
_cell_length_c 7.412
_cell_angle_alpha 82.74
_cell_angle_beta 80.42
_cell_angle_gamma 84.35
loop_
_symmetry_equiv_pos_as_xyz
'x,y,z'
'-x,-y,-z'
loop_
_atom_site_label
_atom_site_type_symbol
_atom_site_fract_x
_atom_site_fract_y
_atom_site_fract_z
_atom_site_occupancy
Be1 Be 0.172 0.350 0.414 1
Zn1 Zn 0.278 0.946 0.888 1
Au1 Au 0.129 0.877 0.328 1
Au2 Au 0.237 0.382 0.089 1
Au3 Au 0.331 0.494 0.679 1
```

## Properties
Total DFT energy (no corrections)   -31.07 eV per cell
M_tot   0.00 μB per formula unit



The following is a PBE-GGA calculation of LiTa2Ag after structural relaxation, from the Alexandria database.

Structure (CIF):
```
data_LiTa2Ag
_chemical_formula_sum 'Li4 Ta8 Ag4'
_symmetry_space_group_name_H-M 'F -4 3 m'
_symmetry_Int_Tables_number 216
_symmetry_space_group_name_Hall 'F -4 2 3'
_cell_length_a 6.533
_cell_length_b 6.533
_cell_length_c 6.533
_cell_angle_alpha 90.00
_cell_angle_beta 90.00
_cell_angle_gamma 90.00
loop_
_atom_site_label
_atom_site_type_symbol
_atom_site_fract_x
_atom_site_fract_y
_atom_site_fract_z
_atom_site_occupancy
Li1 Li 0.000 0.000 0.000 1
Ta1 Ta 0.000 0.000 0.500 1
Ta2 Ta 0.250 0.250 0.250 1
Ag1 Ag 0.250 0.250 0.750 1
```

## Properties
Total DFT energy (no corrections)   -103.99 eV per cell
M_tot   0.01 μB per formula unit